1.
Computed, not measured: a relaxed Nd4Dy3Zn4 crystal at the PBE-GGA level of DFT.

a b c (Å): 4.692 8.218 15.799
angles (deg): 90.00 90.00 90.00
Space group Immm (No. 71)
Unique sites:
Nd 0.000 0.197 0.163 x8
Dy 0.000 0.000 0.387 x4
Dy 0.000 0.500 0.500 x2
Zn 0.000 0.349 0.000 x4
Zn 0.000 0.500 0.272 x4

Calculated values
Crystal system = orthorhombic

=====

2.
Computed, not measured: a relaxed Mg15Cd2Ga2 crystal at the PBE-GGA level of DFT.

a b c (Å): 9.9679 9.9679 15.8625
angles (deg): 90.00 90.00 120.00
Space group R-3m (No. 166, hexagonal axes)
Unique sites:
Mg 0.0000 0.3324 0.0000 x18
Mg 0.0000 0.5000 0.5000 x9
Mg 0.0038 0.5019 0.8337 x18
Cd 0.0000 0.0000 0.2882 x6
Ga 0.0000 0.0000 0.0862 x6

Calculated values
Crystal system = trigonal

=====

Number 1: total moment 0.000 μB per formula unit, formation energy from the elements -1.67 kcal/mol of atoms. Number 2: total moment 0.000 μB per formula unit, formation energy from the elements 2.32 kcal/mol of atoms.